(1)
Entry from Alexandria via LeMat-Bulk: crystalline NaNiHg2Ge at its relaxed geometry (PBE).

ΔH_f (0 K) = -39 meV/atom
total DFT energy (no corrections) = -2.503 eV per atom

Cell lengths 5.102, 5.102, 4.511 Å; angles 90.00, 90.00, 90.00 degrees
Space group P4/mmm (No. 123)
Asymmetric unit:
Na: 0.000 0.000 0.000 (multiplicity 1)
Ni: 0.500 0.500 0.500 (multiplicity 1)
Hg: 0.000 0.500 0.500 (multiplicity 2)
Ge: 0.500 0.500 0.000 (multiplicity 1)



(2)
Entry from Alexandria via LeMat-Bulk: crystalline NaHgGe2O6 at its relaxed geometry (PBE).

total DFT energy (no corrections) = -5.290 eV per atom
E_form (uncorrected) = -1.23 eV/atom

Cell lengths 11.176, 9.929, 5.768 Å; angles 90.00, 110.43, 90.00 degrees
Space group C2/c (No. 15)
Asymmetric unit:
Na: 0.000 0.095 0.250 (multiplicity 4)
Hg: 0.000 0.266 0.750 (multiplicity 4)
Ge: 0.210 0.414 0.194 (multiplicity 8)
O: 0.123 0.260 0.123 (multiplicity 8)
O: 0.126 0.093 0.665 (multiplicity 8)
O: 0.146 0.492 0.892 (multiplicity 8)



(3)
Entry from Alexandria via LeMat-Bulk: crystalline Na2HgGeO4 at its relaxed geometry (PBE).

total DFT energy (no corrections) = -4.823 eV per atom
E_form (uncorrected) = -1.40 eV/atom

Cell lengths 6.874, 6.305, 5.707 Å; angles 90.00, 90.00, 90.00 degrees
Space group Pmn2_1 (No. 31)
Asymmetric unit:
Na: 0.246 0.167 0.000 (multiplicity 4)
Hg: 0.000 0.350 0.499 (multiplicity 2)
Ge: 0.000 0.667 0.006 (multiplicity 2)
O: 0.000 0.400 0.905 (multiplicity 2)
O: 0.000 0.674 0.317 (multiplicity 2)
O: 0.209 0.811 0.904 (multiplicity 4)



(4)
Entry from Alexandria via LeMat-Bulk: crystalline NaPmHgGe at its relaxed geometry (PBE).

ΔH_f (0 K) = -409 meV/atom
total DFT energy (no corrections) = -3.156 eV per atom

Cell lengths 7.326, 7.326, 7.326 Å; angles 90.00, 90.00, 90.00 degrees
Space group F-43m (No. 216)
Asymmetric unit:
Na: 0.000 0.000 0.000 (multiplicity 4)
Pm: 0.000 0.000 0.500 (multiplicity 4)
Hg: 0.250 0.250 0.250 (multiplicity 4)
Ge: 0.250 0.250 0.750 (multiplicity 4)



(5)
Entry from Alexandria via LeMat-Bulk: crystalline NaPrHgGe at its relaxed geometry (PBE).

ΔH_f (0 K) = -411 meV/atom
total DFT energy (no corrections) = -3.165 eV per atom

Cell lengths 7.401, 7.401, 7.401 Å; angles 90.00, 90.00, 90.00 degrees
Space group F-43m (No. 216)
Asymmetric unit:
Na: 0.000 0.000 0.000 (multiplicity 4)
Pr: 0.000 0.000 0.500 (multiplicity 4)
Hg: 0.250 0.250 0.750 (multiplicity 4)
Ge: 0.250 0.250 0.250 (multiplicity 4)



(6)
Entry from Alexandria via LeMat-Bulk: crystalline Na2HgGePt at its relaxed geometry (PBE).

ΔH_f (0 K) = -161 meV/atom
total DFT energy (no corrections) = -2.881 eV per atom

Cell lengths 5.610, 5.610, 4.661 Å; angles 90.00, 90.00, 90.00 degrees
Space group P4/mmm (No. 123)
Asymmetric unit:
Na: 0.000 0.500 0.000 (multiplicity 2)
Hg: 0.000 0.000 0.500 (multiplicity 1)
Ge: 0.500 0.500 0.500 (multiplicity 1)
Pt: 0.500 0.500 0.000 (multiplicity 1)